Entry 1:
VASP calculation (PBE-GGA) on a relaxed BaNa2Pb crystal.

Properties
Magnetization (μB/cell): 0.0
Calculated formation energy (kJ/mol of atoms): -25
Electronic total energy (eV/atom): -2.32

Cell lengths 5.7060, 8.3710, 6.7493 Å; angles 90.00, 114.78, 90.00 degrees
With the nearest neighbours (Å) after each atom.
Element x y z (fractional)
Ba1 0.1011 0.2500 0.2016  3 Pb 3.55-3.85, 6 Na 3.61-3.83
Ba2 0.8989 0.7500 0.7984  3 Pb 3.55-3.85, 6 Na 3.61-3.83
Na1 0.3618 0.0508 0.7245  3 Pb 3.30-3.37, 2 Na 3.33-3.48, 1 Ba 3.61
Na2 0.3618 0.4492 0.7245  3 Pb 3.30-3.37, 2 Na 3.33-3.48, 1 Ba 3.61
Na3 0.6382 0.5508 0.2755  3 Pb 3.30-3.37, 2 Na 3.33-3.48, 1 Ba 3.61
Na4 0.6382 0.9492 0.2755  3 Pb 3.30-3.37, 2 Na 3.33-3.48, 1 Ba 3.61
Pb1 0.1892 0.7500 0.3772  6 Na 3.30-3.37, 1 Ba 3.55
Pb2 0.8108 0.2500 0.6228  6 Na 3.30-3.37, 1 Ba 3.55

***

Entry 2:
VASP calculation (PBE-GGA) on a relaxed MnCrTcW crystal.

Properties
Magnetization (μB/cell): 6.9
Calculated formation energy (kJ/mol of atoms): 7
Electronic total energy (eV/atom): -10.46

Cell lengths 6.0800, 6.0800, 6.0800 Å; angles 90.00, 90.00, 90.00 degrees
With the nearest neighbours (Å) after each atom.
Element x y z (fractional)
Mn1 0.0000 0.0000 0.0000  4 Cr 2.63, 4 Tc 2.63
Mn2 0.0000 0.5000 0.5000  4 Cr 2.63, 4 Tc 2.63
Mn3 0.5000 0.0000 0.5000  4 Cr 2.63, 4 Tc 2.63
Mn4 0.5000 0.5000 0.0000  4 Cr 2.63, 4 Tc 2.63
Cr1 0.2500 0.2500 0.2500  4 Mn 2.63, 4 W 2.63
Cr2 0.2500 0.7500 0.7500  4 Mn 2.63, 4 W 2.63
Cr3 0.7500 0.2500 0.7500  4 Mn 2.63, 4 W 2.63
Cr4 0.7500 0.7500 0.2500  4 Mn 2.63, 4 W 2.63
Tc1 0.2500 0.2500 0.7500  4 Mn 2.63, 4 W 2.63
Tc2 0.2500 0.7500 0.2500  4 Mn 2.63, 4 W 2.63
Tc3 0.7500 0.2500 0.2500  4 Mn 2.63, 4 W 2.63
Tc4 0.7500 0.7500 0.7500  4 Mn 2.63, 4 W 2.63
W1 0.0000 0.0000 0.5000  4 Tc 2.63, 4 Cr 2.63
W2 0.0000 0.5000 0.0000  4 Cr 2.63, 4 Tc 2.63
W3 0.5000 0.0000 0.0000  4 Cr 2.63, 4 Tc 2.63
W4 0.5000 0.5000 0.5000  4 Cr 2.63, 4 Tc 2.63